Entry from the Alexandria database: a relaxed UBeOs crystal (PBE).

Results
Excess energy over the best structure of this formula in the dataset   0.0000 eV/atom
DOS(E_F)   5.12 states/eV per cell
Calculated volume   16.07 Å³/atom
Energy of formation   -0.0213 eV per atom

Cell lengths 3.125, 4.220, 4.220 Å; angles 120.00, 90.00, 90.00 degrees
Fractional coordinates of all 3 atoms:
Os: 0.167 0.667 0.333
U: 0.667 0.333 0.667
Be: 0.167 0.000 0.000